1.
Crystalline CsSn3Au6 at its relaxed geometry, computed with PBE-GGA.

Calculated values
Space group: P2_1/c
E_tot (eV per atom): -3.34
V (Å³/cell): 504.9
Magnetic moment (μB/cell): 0.00

abc: 10.5330 6.4863 7.4692
angles: 90.00 98.32 90.00
Fractional positions:
1 Cs 0.0000 0.0000 0.0000
2 Cs 0.0000 0.5000 0.5000
3 Sn 0.2625 0.2034 0.8047
4 Sn 0.2625 0.2966 0.3047
5 Sn 0.5000 0.0000 0.5000
6 Sn 0.5000 0.5000 0.0000
7 Sn 0.7375 0.7034 0.6953
8 Sn 0.7375 0.7966 0.1953
9 Au 0.1393 0.5131 0.0016
10 Au 0.1393 0.9869 0.5016
11 Au 0.3050 0.7313 0.3113
12 Au 0.3050 0.7687 0.8113
13 Au 0.4207 0.0727 0.1203
14 Au 0.4207 0.4273 0.6203
15 Au 0.5793 0.5727 0.3797
16 Au 0.5793 0.9273 0.8797
17 Au 0.6950 0.2313 0.1887
18 Au 0.6950 0.2687 0.6887
19 Au 0.8607 0.0131 0.4984
20 Au 0.8607 0.4869 0.9984



2.
Crystalline Cs2SnAu2 at its relaxed geometry, computed with PBE-GGA.

Calculated values
Space group: P4/mbm
E_tot (eV per atom): -2.62
V (Å³/cell): 341.5
Magnetic moment (μB/cell): 0.00

abc: 7.5592 7.5592 5.9763
angles: 90.00 90.00 90.00
Fractional positions:
1 Cs 0.1759 0.3241 0.0000
2 Cs 0.3241 0.8241 0.0000
3 Cs 0.6759 0.1759 0.0000
4 Cs 0.8241 0.6759 0.0000
5 Sn 0.0000 0.0000 0.5000
6 Sn 0.5000 0.5000 0.5000
7 Au 0.1371 0.6371 0.5000
8 Au 0.3629 0.1371 0.5000
9 Au 0.6371 0.8629 0.5000
10 Au 0.8629 0.3629 0.5000



3.
Crystalline CsSnAu3 at its relaxed geometry, computed with PBE-GGA.

Calculated values
Space group: Pm-3m
E_tot (eV per atom): -3.11
V (Å³/cell): 158.6
Magnetic moment (μB/cell): 0.00

abc: 5.4135 5.4135 5.4135
angles: 90.00 90.00 90.00
Fractional positions:
1 Cs 0.0000 0.0000 0.0000
2 Sn 0.5000 0.5000 0.5000
3 Au 0.0000 0.5000 0.5000
4 Au 0.5000 0.0000 0.5000
5 Au 0.5000 0.5000 0.0000



4.
Crystalline CsSn4Au5 at its relaxed geometry, computed with PBE-GGA.

Calculated values
Space group: Pmmn
E_tot (eV per atom): -3.50
V (Å³/cell): 568.0
Magnetic moment (μB/cell): 0.00

abc: 8.7893 13.5018 4.7860
angles: 90.00 90.00 90.00
Fractional positions:
1 Cs 0.2500 0.2500 0.2410
2 Cs 0.7500 0.7500 0.7590
3 Sn 0.0789 0.7500 0.2593
4 Sn 0.2500 0.5421 0.7501
5 Sn 0.2500 0.9579 0.7501
6 Sn 0.4211 0.7500 0.2593
7 Sn 0.5789 0.2500 0.7407
8 Sn 0.7500 0.0421 0.2499
9 Sn 0.7500 0.4579 0.2499
10 Sn 0.9211 0.2500 0.7407
11 Au 0.0642 0.5392 0.2498
12 Au 0.0642 0.9608 0.2498
13 Au 0.2500 0.7500 0.7593
14 Au 0.4358 0.5392 0.2498
15 Au 0.4358 0.9608 0.2498
16 Au 0.5642 0.0392 0.7502
17 Au 0.5642 0.4608 0.7502
18 Au 0.7500 0.2500 0.2407
19 Au 0.9358 0.0392 0.7502
20 Au 0.9358 0.4608 0.7502



5.
Crystalline CsSn6Au3 at its relaxed geometry, computed with PBE-GGA.

Calculated values
Space group: P2_1/c
E_tot (eV per atom): -3.58
V (Å³/cell): 582.3
Magnetic moment (μB/cell): 0.00

abc: 11.4283 6.9771 7.4578
angles: 90.00 101.71 90.00
Fractional positions:
1 Cs 0.0000 0.0000 0.0000
2 Cs 0.0000 0.5000 0.5000
3 Sn 0.1485 0.0060 0.5164
4 Sn 0.1485 0.4940 0.0164
5 Sn 0.3085 0.7095 0.3734
6 Sn 0.3085 0.7905 0.8734
7 Sn 0.4244 0.1372 0.1424
8 Sn 0.4244 0.3628 0.6424
9 Sn 0.5756 0.6372 0.3576
10 Sn 0.5756 0.8628 0.8576
11 Sn 0.6915 0.2095 0.1266
12 Sn 0.6915 0.2905 0.6266
13 Sn 0.8515 0.5060 0.9836
14 Sn 0.8515 0.9940 0.4836
15 Au 0.2431 0.2094 0.8312
16 Au 0.2431 0.2906 0.3312
17 Au 0.5000 0.0000 0.5000
18 Au 0.5000 0.5000 0.0000
19 Au 0.7569 0.7094 0.6688
20 Au 0.7569 0.7906 0.1688



6.
Crystalline Cs2SnAu4 at its relaxed geometry, computed with PBE-GGA.

Calculated values
Space group: Fmmm
E_tot (eV per atom): -2.85
V (Å³/cell): 253.0
Magnetic moment (μB/cell): 0.49

abc: 7.4884 7.4861 6.5623
angles: 64.03 63.99 51.98
Fractional positions:
1 Cs 0.2500 0.2500 0.2500
2 Cs 0.7500 0.7500 0.7500
3 Sn 0.0000 0.0000 0.0000
4 Au 0.2901 0.7099 0.2901
5 Au 0.2904 0.7096 0.7096
6 Au 0.7096 0.2904 0.2904
7 Au 0.7099 0.2901 0.7099



7.
Crystalline Cs2Sn2Au at its relaxed geometry, computed with PBE-GGA.

Calculated values
Space group: P4/mbm
E_tot (eV per atom): -2.45
V (Å³/cell): 459.5
Magnetic moment (μB/cell): 0.00

abc: 11.3435 11.3435 3.5712
angles: 90.00 90.00 90.00
Fractional positions:
1 Cs 0.2101 0.2899 0.0000
2 Cs 0.2899 0.7899 0.0000
3 Cs 0.7101 0.2101 0.0000
4 Cs 0.7899 0.7101 0.0000
5 Sn 0.0849 0.5849 0.5000
6 Sn 0.4151 0.0849 0.5000
7 Sn 0.5849 0.9151 0.5000
8 Sn 0.9151 0.4151 0.5000
9 Au 0.0000 0.0000 0.5000
10 Au 0.5000 0.5000 0.5000



8.
Crystalline CsSn4Au3 at its relaxed geometry, computed with PBE-GGA.

Calculated values
Space group: P4/mmm
E_tot (eV per atom): -3.53
V (Å³/cell): 222.5
Magnetic moment (μB/cell): 0.00

abc: 4.9391 4.9391 9.1190
angles: 90.00 90.00 90.00
Fractional positions:
1 Cs 0.0000 0.0000 0.0000
2 Sn 0.0000 0.5000 0.3242
3 Sn 0.0000 0.5000 0.6758
4 Sn 0.5000 0.0000 0.3242
5 Sn 0.5000 0.0000 0.6758
6 Au 0.0000 0.0000 0.5000
7 Au 0.5000 0.5000 0.1578
8 Au 0.5000 0.5000 0.8422



9.
Crystalline Cs2Sn2Au at its relaxed geometry, computed with PBE-GGA.

Calculated values
Space group: Pbam
E_tot (eV per atom): -2.73
V (Å³/cell): 360.8
Magnetic moment (μB/cell): 0.00

abc: 7.2053 7.6164 6.5751
angles: 90.00 90.00 90.00
Fractional positions:
1 Cs 0.2358 0.1222 0.0000
2 Cs 0.2642 0.6222 0.0000
3 Cs 0.7358 0.3778 0.0000
4 Cs 0.7642 0.8778 0.0000
5 Sn 0.1349 0.8540 0.5000
6 Sn 0.3651 0.3540 0.5000
7 Sn 0.6349 0.6460 0.5000
8 Sn 0.8651 0.1460 0.5000
9 Au 0.0000 0.5000 0.5000
10 Au 0.5000 0.0000 0.5000



10.
Crystalline Cs4SnAu3 at its relaxed geometry, computed with PBE-GGA.

Calculated values
Space group: Pmm2
E_tot (eV per atom): -2.43
V (Å³/cell): 359.7
Magnetic moment (μB/cell): 0.00

abc: 5.0069 5.3603 13.4033
angles: 90.00 90.00 90.00
Fractional positions:
1 Cs 0.0000 0.0000 0.0000
2 Cs 0.0000 0.5000 0.4721
3 Cs 0.5000 0.0000 0.6817
4 Cs 0.5000 0.5000 0.2055
5 Sn 0.0000 0.5000 0.7982
6 Au 0.0000 0.0000 0.2775
7 Au 0.5000 0.0000 0.3964
8 Au 0.5000 0.5000 0.8773



11.
Crystalline Cs2SnAu2 at its relaxed geometry, computed with PBE-GGA.

Calculated values
Space group: C2/c
E_tot (eV per atom): -2.73
V (Å³/cell): 380.3
Magnetic moment (μB/cell): 0.00

abc: 7.0956 7.0956 8.7040
angles: 99.20 99.20 62.06
Fractional positions:
1 Cs 0.0406 0.2665 0.1430
2 Cs 0.2665 0.0406 0.6430
3 Cs 0.7335 0.9594 0.3570
4 Cs 0.9594 0.7335 0.8570
5 Sn 0.4278 0.5722 0.2500
6 Sn 0.5722 0.4278 0.7500
7 Au 0.2493 0.5192 0.4981
8 Au 0.4808 0.7507 0.0019
9 Au 0.5192 0.2493 0.9981
10 Au 0.7507 0.4808 0.5019



12.
Crystalline Cs2Sn5Au4 at its relaxed geometry, computed with PBE-GGA.

Calculated values
Space group: C2/m
E_tot (eV per atom): -3.29
V (Å³/cell): 344.1
Magnetic moment (μB/cell): 0.00

abc: 8.0862 8.0862 9.5903
angles: 126.03 126.03 45.43
Fractional positions:
1 Cs 0.2278 0.2278 0.2997
2 Cs 0.7722 0.7722 0.7003
3 Sn 0.2034 0.6946 0.2247
4 Sn 0.3054 0.7966 0.7753
5 Sn 0.5000 0.5000 0.0000
6 Sn 0.6946 0.2034 0.2247
7 Sn 0.7966 0.3054 0.7753
8 Au 0.1122 0.1122 0.5380
9 Au 0.2558 0.2558 0.9132
10 Au 0.7442 0.7442 0.0868
11 Au 0.8878 0.8878 0.4620



13.
Crystalline CsSnAu3 at its relaxed geometry, computed with PBE-GGA.

Calculated values
Space group: P2_1/c
E_tot (eV per atom): -3.17
V (Å³/cell): 654.1
Magnetic moment (μB/cell): 0.00

abc: 9.3781 7.8552 9.7473
angles: 90.00 114.37 90.00
Fractional positions:
1 Cs 0.1366 0.1441 0.2336
2 Cs 0.1366 0.3559 0.7336
3 Cs 0.8634 0.6441 0.2664
4 Cs 0.8634 0.8559 0.7664
5 Sn 0.3897 0.7401 0.5779
6 Sn 0.3897 0.7599 0.0779
7 Sn 0.6103 0.2401 0.9221
8 Sn 0.6103 0.2599 0.4221
9 Au 0.1342 0.5850 0.0619
10 Au 0.1342 0.9150 0.5619
11 Au 0.4257 0.5587 0.3461
12 Au 0.4257 0.9413 0.8461
13 Au 0.4979 0.5884 0.8753
14 Au 0.4979 0.9116 0.3753
15 Au 0.5021 0.0884 0.6247
16 Au 0.5021 0.4116 0.1247
17 Au 0.5743 0.0587 0.1539
18 Au 0.5743 0.4413 0.6539
19 Au 0.8658 0.0850 0.4381
20 Au 0.8658 0.4150 0.9381



14.
Crystalline Cs2SnAu5 at its relaxed geometry, computed with PBE-GGA.

Calculated values
Space group: Cm
E_tot (eV per atom): -2.97
V (Å³/cell): 261.5
Magnetic moment (μB/cell): 0.00

abc: 7.2302 7.2302 7.3467
angles: 120.48 120.48 56.36
Fractional positions:
1 Cs 0.0000 0.0000 0.0000
2 Cs 0.5804 0.5804 0.5823
3 Sn 0.8908 0.8908 0.3911
4 Au 0.0830 0.4914 0.0809
5 Au 0.0828 0.4909 0.4939
6 Au 0.1692 0.1692 0.6700
7 Au 0.4914 0.0830 0.0809
8 Au 0.4909 0.0828 0.4939



15.
Crystalline CsSn4Au4 at its relaxed geometry, computed with PBE-GGA.

Calculated values
Space group: P4_2/nmc
E_tot (eV per atom): -3.58
V (Å³/cell): 480.7
Magnetic moment (μB/cell): 0.00

abc: 7.0838 7.0838 9.5797
angles: 90.00 90.00 90.00
Fractional positions:
1 Cs 0.2500 0.7500 0.2500
2 Cs 0.7500 0.2500 0.7500
3 Sn 0.0088 0.2500 0.1131
4 Sn 0.2500 0.0088 0.6131
5 Sn 0.2500 0.4912 0.6131
6 Sn 0.4912 0.2500 0.1131
7 Sn 0.5088 0.7500 0.8869
8 Sn 0.7500 0.5088 0.3869
9 Sn 0.7500 0.9912 0.3869
10 Sn 0.9912 0.7500 0.8869
11 Au 0.0511 0.2500 0.4075
12 Au 0.2500 0.0511 0.9075
13 Au 0.2500 0.4489 0.9075
14 Au 0.4489 0.2500 0.4075
15 Au 0.5511 0.7500 0.5925
16 Au 0.7500 0.5511 0.0925
17 Au 0.7500 0.9489 0.0925
18 Au 0.9489 0.7500 0.5925



16.
Crystalline Cs3Sn4Au2 at its relaxed geometry, computed with PBE-GGA.

Calculated values
Space group: P-1
E_tot (eV per atom): -3.05
V (Å³/cell): 364.9
Magnetic moment (μB/cell): 0.00

abc: 4.6135 7.7524 10.8961
angles: 100.89 90.15 107.17
Fractional positions:
1 Cs 0.0000 0.0000 0.0000
2 Cs 0.3921 0.7790 0.6039
3 Cs 0.6079 0.2210 0.3961
4 Sn 0.1180 0.2379 0.6889
5 Sn 0.2822 0.5667 0.9076
6 Sn 0.7178 0.4333 0.0924
7 Sn 0.8820 0.7621 0.3111
8 Au 0.3302 0.6588 0.1765
9 Au 0.6698 0.3412 0.8235



17.
Crystalline CsSn3Au3 at its relaxed geometry, computed with PBE-GGA.

Calculated values
Space group: Pm-3n
E_tot (eV per atom): -3.41
V (Å³/cell): 465.3
Magnetic moment (μB/cell): 0.00

abc: 7.7491 7.7491 7.7491
angles: 90.00 90.00 90.00
Fractional positions:
1 Cs 0.0000 0.0000 0.0000
2 Cs 0.5000 0.5000 0.5000
3 Sn 0.0000 0.2500 0.5000
4 Sn 0.0000 0.7500 0.5000
5 Sn 0.2500 0.5000 0.0000
6 Sn 0.5000 0.0000 0.2500
7 Sn 0.5000 0.0000 0.7500
8 Sn 0.7500 0.5000 0.0000
9 Au 0.0000 0.5000 0.2500
10 Au 0.0000 0.5000 0.7500
11 Au 0.2500 0.0000 0.5000
12 Au 0.5000 0.2500 0.0000
13 Au 0.5000 0.7500 0.0000
14 Au 0.7500 0.0000 0.5000



18.
Crystalline Cs2Sn2Au at its relaxed geometry, computed with PBE-GGA.

Calculated values
Space group: I4/mmm
E_tot (eV per atom): -2.64
V (Å³/cell): 240.9
Magnetic moment (μB/cell): 0.00

abc: 6.7939 6.7939 6.7939
angles: 110.98 110.98 106.49
Fractional positions:
1 Cs 0.2500 0.7500 0.5000
2 Cs 0.7500 0.2500 0.5000
3 Sn 0.1650 0.1650 0.0000
4 Sn 0.8350 0.8350 0.0000
5 Au 0.5000 0.5000 0.0000



19.
Crystalline CsSn4Au9 at its relaxed geometry, computed with PBE-GGA.

Calculated values
Space group: I4/mcm
E_tot (eV per atom): -3.47
V (Å³/cell): 638.1
Magnetic moment (μB/cell): 0.00

abc: 9.6546 9.6546 9.6546
angles: 119.82 119.82 90.32
Fractional positions:
1 Cs 0.2500 0.2500 0.0000
2 Cs 0.7500 0.7500 0.0000
3 Sn 0.0661 0.5661 0.8777
4 Sn 0.1885 0.0661 0.5000
5 Sn 0.3115 0.8115 0.8777
6 Sn 0.4339 0.3115 0.5000
7 Sn 0.5661 0.6885 0.5000
8 Sn 0.6885 0.1885 0.1223
9 Sn 0.8115 0.9339 0.5000
10 Sn 0.9339 0.4339 0.1223
11 Au 0.0000 0.5000 0.5000
12 Au 0.0335 0.2033 0.2368
13 Au 0.0640 0.7998 0.5000
14 Au 0.2002 0.7002 0.2643
15 Au 0.2033 0.9665 0.1698
16 Au 0.2967 0.4665 0.7632
17 Au 0.2998 0.5640 0.5000
18 Au 0.4360 0.9360 0.7357
19 Au 0.4665 0.7033 0.1698
20 Au 0.5000 0.0000 0.5000
21 Au 0.5335 0.2967 0.8302
22 Au 0.5640 0.0640 0.2643
23 Au 0.7002 0.4360 0.5000
24 Au 0.7033 0.5335 0.2368
25 Au 0.7967 0.0335 0.8302
26 Au 0.7998 0.2998 0.7357
27 Au 0.9360 0.2002 0.5000
28 Au 0.9665 0.7967 0.7632



20.
Crystalline Cs3SnAu at its relaxed geometry, computed with PBE-GGA.

Calculated values
Space group: Pm-3m
E_tot (eV per atom): -1.97
V (Å³/cell): 313.1
Magnetic moment (μB/cell): 2.00

abc: 6.7907 6.7907 6.7907
angles: 90.00 90.00 90.00
Fractional positions:
1 Cs 0.0000 0.0000 0.5000
2 Cs 0.0000 0.5000 0.0000
3 Cs 0.5000 0.0000 0.0000
4 Sn 0.5000 0.5000 0.5000
5 Au 0.0000 0.0000 0.0000



Q: Which formation enthalpy at 0 K values were calculated for the entries above? A: -0.9, -0.9, -0.8, -1.8, -1.1, -1.2, 0.7, -1.6, -0.7, -2.2, -1.4, -1.4, -1.2, -1.7, -2.3, -2.3, -1.2, -0.2, -2.2, 0.0, in eV/f.u..